First-principles (SCAN) data for a PBEsol-optimized structure of Cd2SiMo, as listed in Alexandria.

Summary:
total DFT energy (no corrections) = -26.27 eV per atom
formation energy (no corrections) = 0.159 eV per atom

a b c (Å): 2.7589 4.1263 7.3468
angles (deg): 106.29 100.82 90.00
Fractional positions:
Mo (0.5000, 0.0000, 0.0000)
Cd (0.8166, 0.8164, 0.6332)
Cd (0.1834, 0.1836, 0.3668)
Si (0.0000, 0.5000, 0.0000)

=====

First-principles (SCAN) data for a PBEsol-optimized structure of InSbBr2, as listed in Alexandria.

Summary:
total DFT energy (no corrections) = -27.49 eV per atom
formation energy (no corrections) = -0.103 eV per atom
relative energy among the computed polymorphs = 0.0 meV/atom

a b c (Å): 3.4539 3.4539 10.6265
angles (deg): 80.65 80.65 60.00
Fractional positions:
In (0.0000, 0.0000, 0.0000)
Sb (0.5000, 0.5000, 0.5000)
Br (0.9080, 0.9080, 0.2759)
Br (0.0920, 0.0920, 0.7241)

=====

First-principles (SCAN) data for a PBEsol-optimized structure of Mn3CdTe, as listed in Alexandria.

Summary:
total DFT energy (no corrections) = -23.92 eV per atom
formation energy (no corrections) = 0.564 eV per atom

a b c (Å): 4.9173 4.9173 4.9173
angles (deg): 90.00 90.00 90.00
Fractional positions:
Cd (0.0000, 0.0000, 0.0000)
Mn (0.5000, 0.0000, 0.0000)
Mn (0.0000, 0.5000, 0.0000)
Mn (0.0000, 0.0000, 0.5000)
Te (0.5000, 0.5000, 0.5000)

=====

First-principles (SCAN) data for a PBEsol-optimized structure of Be2GaBAu, as listed in Alexandria.

Summary:
total DFT energy (no corrections) = -20.02 eV per atom
calculated formation energy = 305.7 meV per atom

a b c (Å): 3.7299 3.7299 4.6390
angles (deg): 90.00 90.00 90.00
Fractional positions:
Ga (0.5000, 0.5000, 0.5000)
Au (0.0000, 0.0000, 0.5000)
Be (0.0000, 0.5000, 0.0000)
Be (0.5000, 0.0000, 0.0000)
B (0.0000, 0.0000, 0.0000)

=====

First-principles (SCAN) data for a PBEsol-optimized structure of HoTmIn2, as listed in Alexandria.

Summary:
total DFT energy (no corrections) = -42.49 eV per atom
calculated formation energy = -588.8 meV per atom

a b c (Å): 5.1827 5.1827 5.1827
angles (deg): 60.00 60.00 60.00
Fractional positions:
Tm (0.0000, 0.0000, 0.0000)
In (0.7500, 0.7500, 0.7500)
In (0.2500, 0.2500, 0.2500)
Ho (0.5000, 0.5000, 0.5000)

=====

First-principles (SCAN) data for a PBEsol-optimized structure of Y3InFe, as listed in Alexandria.

Summary:
total DFT energy (no corrections) = -27.07 eV per atom
calculated formation energy = -60.2 meV per atom

a b c (Å): 5.0510 5.0510 5.0510
angles (deg): 90.00 90.00 90.00
Fractional positions:
Y (0.0000, 0.0000, 0.5000)
Y (0.5000, 0.0000, 0.0000)
Y (0.0000, 0.5000, 0.0000)
Fe (0.0000, 0.0000, 0.0000)
In (0.5000, 0.5000, 0.5000)

=====

First-principles (SCAN) data for a PBEsol-optimized structure of Nb7B4C4, as listed in Alexandria.

Summary:
total DFT energy (no corrections) = -20.79 eV per atom
calculated formation energy = -656.9 meV per atom

a b c (Å): 3.1403 3.2133 16.3061
angles (deg): 95.65 95.53 90.00
Fractional positions:
Nb (0.2856, 0.7856, 0.5711)
Nb (0.7144, 0.2144, 0.4289)
Nb (0.8524, 0.3524, 0.7048)
Nb (0.0000, 0.0000, 0.0000)
Nb (0.5816, 0.0816, 0.1631)
Nb (0.1476, 0.6476, 0.2952)
Nb (0.4184, 0.9184, 0.8369)
B (0.4716, 0.4716, 0.9432)
B (0.0575, 0.5575, 0.1150)
B (0.5284, 0.5284, 0.0568)
B (0.9425, 0.4425, 0.8850)
C (0.6472, 0.1472, 0.2944)
C (0.2153, 0.7153, 0.4305)
C (0.7847, 0.2847, 0.5695)
C (0.3528, 0.8528, 0.7056)

=====

First-principles (SCAN) data for a PBEsol-optimized structure of MgWI2Br, as listed in Alexandria.

Summary:
total DFT energy (no corrections) = -32.25 eV per atom
formation energy (no corrections) = 1.274 eV per atom

a b c (Å): 4.6589 6.6264 6.6264
angles (deg): 90.00 90.00 90.00
Fractional positions:
W (0.5000, 0.0000, 0.0000)
Br (0.0000, 0.0000, 0.0000)
I (0.0000, 0.5000, 0.0000)
I (0.0000, 0.0000, 0.5000)
Mg (0.5000, 0.5000, 0.5000)

=====

First-principles (SCAN) data for a PBEsol-optimized structure of Y2ZrP, as listed in Alexandria.

Summary:
total DFT energy (no corrections) = -24.81 eV per atom
calculated formation energy = -618.3 meV per atom

a b c (Å): 3.6259 3.6259 9.0077
angles (deg): 78.39 78.39 60.00
Fractional positions:
Zr (0.5000, 0.5000, 0.5000)
Y (0.2685, 0.2685, 0.1946)
Y (0.7315, 0.7315, 0.8054)
P (0.0000, 0.0000, 0.0000)

=====

First-principles (SCAN) data for a PBEsol-optimized structure of Li2CdI, as listed in Alexandria.

Summary:
total DFT energy (no corrections) = -18.27 eV per atom
formation energy (no corrections) = -0.290 eV per atom

a b c (Å): 5.1682 5.1682 5.1682
angles (deg): 60.00 60.00 60.00
Fractional positions:
Li (0.7500, 0.7500, 0.7500)
Li (0.2500, 0.2500, 0.2500)
I (0.5000, 0.5000, 0.5000)
Cd (0.0000, 0.0000, 0.0000)

=====

First-principles (SCAN) data for a PBEsol-optimized structure of NaGaTe3, as listed in Alexandria.

Summary:
total DFT energy (no corrections) = -25.95 eV per atom
formation energy (no corrections) = 0.509 eV per atom

a b c (Å): 5.4556 5.4556 5.4556
angles (deg): 90.00 90.00 90.00
Fractional positions:
Te (0.5000, 0.0000, 0.0000)
Te (0.0000, 0.5000, 0.0000)
Te (0.0000, 0.0000, 0.5000)
Ga (0.5000, 0.5000, 0.5000)
Na (0.0000, 0.0000, 0.0000)

=====

First-principles (SCAN) data for a PBEsol-optimized structure of BeCoRh, as listed in Alexandria.

Summary:
total DFT energy (no corrections) = -18.42 eV per atom
calculated formation energy = 54.1 meV per atom

a b c (Å): 3.6406 3.6406 3.6406
angles (deg): 60.00 60.00 60.00
Fractional positions:
Be (0.2500, 0.2500, 0.2500)
Rh (0.5000, 0.5000, 0.5000)
Co (0.0000, 0.0000, 0.0000)

=====

Short version: total magnetization = 0.00; 0.00; 13.26; 0.00; 0.00; 0.00; 0.00; 4.98; 0.77; 0.00; 1.75; 2.07 Bohr magnetons per cell, in the order given.